Below is a relaxed Zn2CrPb crystal, with properties calculated at the GGA-PBE level.

N(E_F)	0.406	states/eV/atom
DFT total energy	-0.26527	Ry per atom
DFT formation energy	361	meV/atom
symmetry	Pm (6)

Cell: 4.252 3.055 6.137 Å, 89.16 90.00 90.00°
Positions (direct):
Pb1 0.500 0.977 0.736
Cr1 0.000 0.500 0.434
Zn1 0.500 0.006 0.273
Zn2 0.000 0.016 0.056